Mg3Ga2Ir | PBE | optimized geometry Values from VASP.

Values from the calculation:
Theoretical density, g/cm3: 6.1
Magnetization, μB/f.u.: 0.000
SG: P2_1/c
ΔE_f, eV per atom: -0.3117

```
&SYSTEM
  ibrav = 0, nat = 24, ntyp = 3
/
ATOMIC_SPECIES
Mg 24.30 Mg.upf
Ga 69.72 Ga.upf
Ir 192.22 Ir.upf
ATOMIC_POSITIONS crystal
Mg 0.134 0.138 0.039
Mg 0.134 0.362 0.539
Mg 0.236 0.728 0.169
Mg 0.236 0.772 0.669
Mg 0.339 0.061 0.394
Mg 0.339 0.439 0.894
Mg 0.661 0.561 0.106
Mg 0.661 0.939 0.606
Mg 0.764 0.228 0.331
Mg 0.764 0.272 0.831
Mg 0.866 0.638 0.461
Mg 0.866 0.862 0.961
Ga 0.032 0.062 0.677
Ga 0.032 0.438 0.177
Ga 0.486 0.646 0.427
Ga 0.486 0.854 0.927
Ga 0.514 0.146 0.073
Ga 0.514 0.354 0.573
Ga 0.968 0.562 0.823
Ga 0.968 0.938 0.323
Ir 0.377 0.120 0.753
Ir 0.377 0.380 0.253
Ir 0.623 0.620 0.747
Ir 0.623 0.880 0.247
CELL_PARAMETERS angstrom
7.252 0.000 0.000
0.000 8.086 0.000
-0.322 0.000 7.537
```

---

Mg3Ga4Ir4 | PBE | optimized geometry Values from VASP.

Values from the calculation:
Theoretical density, g/cm3: 10.3
Magnetization, μB/f.u.: 0.000
SG: Immm
ΔE_f, eV per atom: -0.4141

```
&SYSTEM
  ibrav = 0, nat = 11, ntyp = 3
/
ATOMIC_SPECIES
Mg 24.30 Mg.upf
Ga 69.72 Ga.upf
Ir 192.22 Ir.upf
ATOMIC_POSITIONS crystal
Mg 0.000 0.000 0.000
Mg 0.402 0.902 0.500
Mg 0.598 0.098 0.500
Ga 0.038 0.338 0.700
Ga 0.362 0.662 0.700
Ga 0.638 0.338 0.300
Ga 0.962 0.662 0.300
Ir 0.249 0.249 0.000
Ir 0.281 0.500 0.781
Ir 0.719 0.500 0.219
Ir 0.751 0.751 0.000
CELL_PARAMETERS angstrom
-1.517 4.015 7.422
1.517 -4.015 7.422
1.517 4.015 -7.422
```

---

Mg2GaIr | PBE | optimized geometry Values from VASP.

Values from the calculation:
Theoretical density, g/cm3: 7.0
Magnetization, μB/f.u.: 0.000
SG: R-3m
ΔE_f, eV per atom: -0.0290

```
&SYSTEM
  ibrav = 0, nat = 4, ntyp = 3
/
ATOMIC_SPECIES
Mg 24.30 Mg.upf
Ga 69.72 Ga.upf
Ir 192.22 Ir.upf
ATOMIC_POSITIONS crystal
Mg 0.096 0.096 0.096
Mg 0.904 0.904 0.904
Ga 0.000 0.000 0.000
Ir 0.500 0.500 0.500
CELL_PARAMETERS angstrom
1.484 0.857 9.721
-1.484 0.857 9.721
0.000 -1.714 9.721
```

---

MgGa3Ir | PBE | optimized geometry Values from VASP.

Values from the calculation:
Energy above the lowest structure with this stoichiometry, meV per atom: 0
Theoretical density, g/cm3: 7.9
Magnetization, μB/f.u.: 0.000
SG: P2_1/m
ΔE_f, eV per atom: -0.3120

```
&SYSTEM
  ibrav = 0, nat = 10, ntyp = 3
/
ATOMIC_SPECIES
Mg 24.30 Mg.upf
Ga 69.72 Ga.upf
Ir 192.22 Ir.upf
ATOMIC_POSITIONS crystal
Mg 0.184 0.250 0.173
Mg 0.816 0.750 0.827
Ga 0.076 0.250 0.648
Ga 0.317 0.750 0.913
Ga 0.343 0.750 0.509
Ga 0.657 0.250 0.491
Ga 0.683 0.250 0.087
Ga 0.924 0.750 0.352
Ir 0.479 0.250 0.749
Ir 0.521 0.750 0.251
CELL_PARAMETERS angstrom
6.550 0.000 0.000
0.000 3.675 0.000
-2.243 0.000 7.389
```

---

Mg2Ga2Ir | PBE | optimized geometry Values from VASP.

Values from the calculation:
Energy above the lowest structure with this stoichiometry, meV per atom: 160
Theoretical density, g/cm3: 5.7
Magnetization, μB/f.u.: 0.000
SG: R-3m
ΔE_f, eV per atom: -0.0815

```
&SYSTEM
  ibrav = 0, nat = 5, ntyp = 3
/
ATOMIC_SPECIES
Mg 24.30 Mg.upf
Ga 69.72 Ga.upf
Ir 192.22 Ir.upf
ATOMIC_POSITIONS crystal
Mg 0.066 0.066 0.066
Mg 0.934 0.934 0.934
Ga 0.203 0.203 0.203
Ga 0.797 0.797 0.797
Ir 0.500 0.500 0.500
CELL_PARAMETERS angstrom
2.092 1.208 7.367
-2.092 1.208 7.367
0.000 -2.416 7.367
```

---

Mg2GaIr2 | PBE | optimized geometry Values from VASP.

Values from the calculation:
Energy above the lowest structure with this stoichiometry, meV per atom: 440
Theoretical density, g/cm3: 10.4
Magnetization, μB/f.u.: 0.000
SG: P4/mbm
ΔE_f, eV per atom: -0.0336

```
&SYSTEM
  ibrav = 0, nat = 10, ntyp = 3
/
ATOMIC_SPECIES
Mg 24.30 Mg.upf
Ga 69.72 Ga.upf
Ir 192.22 Ir.upf
ATOMIC_POSITIONS crystal
Mg 0.126 0.374 0.000
Mg 0.374 0.874 0.000
Mg 0.626 0.126 0.000
Mg 0.874 0.626 0.000
Ga 0.000 0.000 0.000
Ga 0.500 0.500 0.000
Ir 0.174 0.674 0.500
Ir 0.326 0.174 0.500
Ir 0.674 0.826 0.500
Ir 0.826 0.326 0.500
CELL_PARAMETERS angstrom
7.398 0.000 0.000
0.000 7.398 0.000
0.000 0.000 2.943
```

---

MgGa2Ir2 | PBE | optimized geometry Values from VASP.

Values from the calculation:
Energy above the lowest structure with this stoichiometry, meV per atom: 0
Theoretical density, g/cm3: 11.7
Magnetization, μB/f.u.: 0.000
SG: P4/mbm
ΔE_f, eV per atom: -0.4710

```
&SYSTEM
  ibrav = 0, nat = 10, ntyp = 3
/
ATOMIC_SPECIES
Mg 24.30 Mg.upf
Ga 69.72 Ga.upf
Ir 192.22 Ir.upf
ATOMIC_POSITIONS crystal
Mg 0.000 0.000 0.000
Mg 0.500 0.500 0.000
Ga 0.135 0.365 0.000
Ga 0.365 0.865 0.000
Ga 0.635 0.135 0.000
Ga 0.865 0.635 0.000
Ir 0.163 0.663 0.500
Ir 0.337 0.163 0.500
Ir 0.663 0.837 0.500
Ir 0.837 0.337 0.500
CELL_PARAMETERS angstrom
7.315 0.000 0.000
0.000 7.315 0.000
0.000 0.000 2.900
```

---

Mg2Ga2Ir3 | PBE | optimized geometry Values from VASP.

Values from the calculation:
Theoretical density, g/cm3: 11.1
Magnetization, μB/f.u.: 0.000
SG: C2/m
ΔE_f, eV per atom: -0.3951

```
&SYSTEM
  ibrav = 0, nat = 7, ntyp = 3
/
ATOMIC_SPECIES
Mg 24.30 Mg.upf
Ga 69.72 Ga.upf
Ir 192.22 Ir.upf
ATOMIC_POSITIONS crystal
Mg 0.131 0.131 0.393
Mg 0.869 0.869 0.607
Ga 0.390 0.390 0.168
Ga 0.610 0.610 0.832
Ir 0.000 0.000 0.000
Ir 0.262 0.262 0.787
Ir 0.738 0.738 0.213
CELL_PARAMETERS angstrom
3.774 -2.180 0.000
3.774 2.180 0.000
-2.520 0.000 6.927
```

---

Among the records above, which one has the lowest ΔE_f?
MgGa2Ir2